Here is an optimized crystal structure of Mn6Pd5Pt from the Alexandria database. Energies are from PBE-GGA.

Output
DOS at the Fermi energy = 4.92 states/eV per cell
Total magnetic moment = 2.25 μB/atom
Energy of formation = -0.220 eV/atom
Raw total energy = -7.471 eV per atom

Unit cell a=4.360 b=6.403 c=7.607 alpha=114.89 beta=106.65 gamma=90.00
Sites, in units of the cell vectors:
Mn 0.166 0.917 0.332
Mn 0.834 0.584 0.668
Mn 0.500 0.249 0.000
Mn 0.166 0.416 0.332
Mn 0.834 0.083 0.668
Mn 0.500 0.751 0.000
Pd 0.667 0.667 0.333
Pd 0.332 0.832 0.665
Pd 0.333 0.333 0.667
Pd 0.668 0.168 0.335
Pd 0.000 0.500 0.000
Pt 0.000 0.000 0.000